# ZnHgSe2 (GGA-PBE, relaxed)
# Total moment, μB per formula unit: 0.00
# DOS(E_F), states/eV per cell: 0.00
# ΔE_f (raw), eV per atom: -0.32
# V, Å³ per atom: 28.4
data_ZnHgSe2
_chemical_formula_sum 'Zn8 Hg8 Se16'
_symmetry_space_group_name_H-M 'P 1'
_symmetry_Int_Tables_number 1
_symmetry_space_group_name_Hall 'P 1'
_cell_length_a 8.576
_cell_length_b 8.576
_cell_length_c 12.446
_cell_angle_alpha 93.76
_cell_angle_beta 93.76
_cell_angle_gamma 86.46
loop_
_atom_site_label
_atom_site_type_symbol
_atom_site_fract_x
_atom_site_fract_y
_atom_site_fract_z
Zn1 Zn 0.001 0.705 0.435
Zn2 Zn 0.035 0.757 0.876
Zn3 Zn 0.243 0.965 0.624
Zn4 Zn 0.295 0.999 0.065
Zn5 Zn 0.705 0.001 0.935
Zn6 Zn 0.757 0.035 0.376
Zn7 Zn 0.965 0.243 0.124
Zn8 Zn 0.999 0.295 0.565
Hg1 Hg 0.001 0.746 0.138
Hg2 Hg 0.254 0.999 0.362
Hg3 Hg 0.289 0.448 0.265
Hg4 Hg 0.448 0.289 0.765
Hg5 Hg 0.552 0.711 0.235
Hg6 Hg 0.711 0.552 0.735
Hg7 Hg 0.746 0.001 0.638
Hg8 Hg 0.999 0.254 0.862
Se1 Se 0.005 0.497 0.730
Se2 Se 0.031 0.969 0.750
Se3 Se 0.215 0.262 0.035
Se4 Se 0.254 0.733 0.012
Se5 Se 0.262 0.215 0.535
Se6 Se 0.267 0.746 0.488
Se7 Se 0.423 0.577 0.750
Se8 Se 0.497 0.005 0.230
Se9 Se 0.503 0.995 0.770
Se10 Se 0.577 0.423 0.250
Se11 Se 0.733 0.254 0.512
Se12 Se 0.738 0.785 0.465
Se13 Se 0.746 0.267 0.988
Se14 Se 0.785 0.738 0.965
Se15 Se 0.969 0.031 0.250
Se16 Se 0.995 0.503 0.270